# 1
# MgCdIn2 PBEsol relaxed
# ΔE_f, eV per formula unit: 0.0
# V, Å³ per cell: 188.66
# Size of the total moment, μB per cell: 0.00
data_MgCdIn2
_cell_length_a 3.629
_cell_length_b 5.147
_cell_length_c 10.101
_cell_angle_alpha 90.00
_cell_angle_beta 90.00
_cell_angle_gamma 90.00
_symmetry_space_group_name_H-M 'I m m m'
_symmetry_Int_Tables_number 71
_symmetry_space_group_name_Hall '-I 2 2'
loop_
_atom_site_label
_atom_site_type_symbol
_atom_site_fract_x
_atom_site_fract_y
_atom_site_fract_z
_atom_site_occupancy
Mg1 Mg 0.000 0.000 0.000 1
Cd1 Cd 0.000 0.000 0.500 1
In1 In 0.000 0.500 0.248 1

=====

# 2
# MgCdIn2 PBEsol relaxed
# ΔE_f, eV per formula unit: -0.1
# V, Å³ per cell: 188.18
# Size of the total moment, μB per cell: 0.00
data_MgCdIn2
_cell_length_a 3.103
_cell_length_b 5.466
_cell_length_c 11.095
_cell_angle_alpha 90.00
_cell_angle_beta 90.00
_cell_angle_gamma 90.00
_symmetry_space_group_name_H-M 'I m m 2'
_symmetry_Int_Tables_number 44
_symmetry_space_group_name_Hall 'I 2 -2'
loop_
_atom_site_label
_atom_site_type_symbol
_atom_site_fract_x
_atom_site_fract_y
_atom_site_fract_z
_atom_site_occupancy
Mg1 Mg 0.000 0.000 0.000 1
Cd1 Cd 0.000 0.500 0.734 1
In1 In 0.000 0.000 0.487 1
In2 In 0.000 0.500 0.252 1

=====

# 3
# MgCdIn2 PBEsol relaxed
# ΔE_f, eV per formula unit: -0.2
# V, Å³ per cell: 183.41
# Size of the total moment, μB per cell: 0.00
data_MgCdIn2
_cell_length_a 10.277
_cell_length_b 3.341
_cell_length_c 5.431
_cell_angle_alpha 90.00
_cell_angle_beta 100.40
_cell_angle_gamma 90.00
_symmetry_space_group_name_H-M 'C 1 m 1'
_symmetry_Int_Tables_number 8
_symmetry_space_group_name_Hall 'C -2y'
loop_
_atom_site_label
_atom_site_type_symbol
_atom_site_fract_x
_atom_site_fract_y
_atom_site_fract_z
_atom_site_occupancy
Mg1 Mg 0.000 0.000 0.000 1
Cd1 Cd 0.244 0.500 0.244 1
In1 In 0.251 0.000 0.757 1
In2 In 0.494 0.000 0.491 1

=====

# 4
# MgCdIn2 PBEsol relaxed
# ΔE_f, eV per formula unit: -0.1
# V, Å³ per cell: 278.36
# Size of the total moment, μB per cell: 0.00
data_MgCdIn2
_cell_length_a 3.3843
_cell_length_b 3.3843
_cell_length_c 28.0629
_cell_angle_alpha 90.00
_cell_angle_beta 90.00
_cell_angle_gamma 120.00
_symmetry_space_group_name_H-M 'R -3 m'
_symmetry_Int_Tables_number 166
_symmetry_space_group_name_Hall '-R 3 2"'
loop_
_atom_site_label
_atom_site_type_symbol
_atom_site_fract_x
_atom_site_fract_y
_atom_site_fract_z
_atom_site_occupancy
Mg1 Mg 0.0000 0.0000 0.0000 1
Cd1 Cd 0.0000 0.0000 0.5000 1
In1 In 0.0000 0.0000 0.2497 1

=====

# 5
# MgCdIn PBEsol relaxed
# ΔE_f, eV per formula unit: -0.2
# V, Å³ per cell: 265.69
# Size of the total moment, μB per cell: 0.00
data_MgCdIn
_cell_length_a 4.484
_cell_length_b 4.500
_cell_length_c 13.166
_cell_angle_alpha 90.00
_cell_angle_beta 90.00
_cell_angle_gamma 90.00
_symmetry_space_group_name_H-M 'F m m 2'
_symmetry_Int_Tables_number 42
_symmetry_space_group_name_Hall 'F 2 -2'
loop_
_atom_site_label
_atom_site_type_symbol
_atom_site_fract_x
_atom_site_fract_y
_atom_site_fract_z
_atom_site_occupancy
Mg1 Mg 0.000 0.000 0.000 1
Cd1 Cd 0.000 0.000 0.656 1
In1 In 0.000 0.000 0.329 1

=====

# 6
# Mg2CdIn PBEsol relaxed
# ΔE_f, eV per formula unit: -0.3
# V, Å³ per cell: 88.35
# Size of the total moment, μB per cell: 0.00
data_Mg2CdIn
_cell_length_a 5.168
_cell_length_b 3.281
_cell_length_c 5.584
_cell_angle_alpha 90.00
_cell_angle_beta 111.09
_cell_angle_gamma 90.00
_symmetry_space_group_name_H-M 'P 1 2/m 1'
_symmetry_Int_Tables_number 10
_symmetry_space_group_name_Hall '-P 2y'
loop_
_atom_site_label
_atom_site_type_symbol
_atom_site_fract_x
_atom_site_fract_y
_atom_site_fract_z
_atom_site_occupancy
Mg1 Mg 0.000 0.000 0.000 1
Mg2 Mg 0.000 0.500 0.500 1
Cd1 Cd 0.500 0.000 0.500 1
In1 In 0.500 0.500 0.000 1